A geometry-optimized AcCuAgO3 structure. Source: Alexandria via LeMat-Bulk, functional PBE.

Properties
Uncorrected energy (eV/atom): -5.71

abc: 7.165 3.662 7.722
angles: 90.00 110.36 90.00
Positions (direct):
Ac: 0.225 0.250 0.215
Ac: 0.775 0.750 0.785
Cu: 0.360 0.750 0.906
Cu: 0.640 0.250 0.094
Ag: 0.157 0.250 0.641
Ag: 0.843 0.750 0.359
O: 0.131 0.750 0.970
O: 0.174 0.750 0.410
O: 0.480 0.250 0.818
O: 0.520 0.750 0.182
O: 0.826 0.250 0.590
O: 0.869 0.250 0.030

---

A geometry-optimized AcCuAgO4 structure. Source: Alexandria via LeMat-Bulk, functional PBE.

Properties
Uncorrected energy (eV/atom): -4.62

abc: 6.174 6.174 6.174
angles: 60.00 60.00 60.00
Positions (direct):
Ac: 0.000 0.000 0.000
Cu: 0.500 0.500 0.500
Ag: 0.750 0.750 0.750
O: 0.147 0.618 0.618
O: 0.618 0.147 0.618
O: 0.618 0.618 0.147
O: 0.618 0.618 0.618

---

A geometry-optimized Ac3Cu2AgO8 structure. Source: Alexandria via LeMat-Bulk, functional PBE.

Properties
Uncorrected energy (eV/atom): -6.29

abc: 5.664 5.664 7.431
angles: 90.00 90.00 120.00
Positions (direct):
Ac: 0.000 0.000 0.000
Ac: 0.333 0.667 0.631
Ac: 0.667 0.333 0.369
Cu: 0.333 0.667 0.177
Cu: 0.667 0.333 0.823
Ag: 0.000 0.000 0.500
O: 0.167 0.334 0.315
O: 0.167 0.833 0.315
O: 0.333 0.667 0.933
O: 0.334 0.167 0.685
O: 0.666 0.833 0.315
O: 0.667 0.333 0.067
O: 0.833 0.167 0.685
O: 0.833 0.666 0.685

---

A geometry-optimized Ac2CuAg2O6 structure. Source: Alexandria via LeMat-Bulk, functional PBE.

Properties
Uncorrected energy (eV/atom): -5.67

abc: 6.273 6.273 6.273
angles: 59.77 59.77 59.77
Positions (direct):
Ac: 0.210 0.210 0.210
Ac: 0.790 0.790 0.790
Cu: 0.000 0.000 0.000
Ag: 0.411 0.411 0.411
Ag: 0.589 0.589 0.589
O: 0.189 0.775 0.775
O: 0.225 0.225 0.811
O: 0.225 0.811 0.225
O: 0.775 0.189 0.775
O: 0.775 0.775 0.189
O: 0.811 0.225 0.225

---

E_form (uncorrected) for every record listed, in sequence, given in meV per atom: -1391 -203 -1792 -1326.
Fermi-level density of states for every record listed, in sequence, given in states/eV/cell: 6.92 5.89 4.52 3.34.
Total magnetization for every record listed, in sequence, given in Bohr magnetons per cell: 0.0 0.1 0.0 0.0.